DFT (PBE) results for an optimized crystal structure of Pm5DySb6.

DOS(E_F): 1.9 states/eV per cell
density: 7.06 Mg/m³
raw formation energy: -1.18 eV/atom

```
Pm5DySb6
1.0
7.6613 0.1868 1.1639
1.8822 6.4956 3.7868
0.1287 0.0681 7.7514
Sb Dy Pm
6 1 5
direct
0.7528 0.0822 0.3297 Sb
0.2472 0.5881 0.3297 Sb
0.2486 0.2465 0.0000 Sb
0.7514 0.7535 0.0000 Sb
0.7528 0.4119 0.6703 Sb
0.2472 0.9178 0.6703 Sb
0.0000 0.0000 0.0000 Dy
0.5000 0.1681 0.6638 Pm
0.0000 0.3338 0.3324 Pm
0.5000 0.5000 0.0000 Pm
0.0000 0.6662 0.6676 Pm
0.5000 0.8319 0.3362 Pm
```